VASP calculation (PBE) on crystalline NpIBr at its relaxed geometry.

a = 5.2061 Å, b = 5.2094 Å, c = 8.0121 Å
α = 90.00°, β = 104.93°, γ = 90.00°
Last column: nearest neighbours and their distance in Å.
Positions (direct):
Br 0.3342 0.2500 0.7123  4 Np 3.08
Br 0.6658 0.7500 0.2877  4 Np 3.08
I 0.1459 0.2500 0.2370  4 Np 3.30-3.31, 1 Br 3.68
I 0.8541 0.7500 0.7630  4 Np 3.30-3.31, 1 Br 3.68
Np 0.7501 0.2500 0.5000  4 Br 3.08, 4 I 3.30-3.31
Np 0.2499 0.7500 0.5000  4 Br 3.08, 4 I 3.30-3.31

Summary:
Symmetry = P2_1/m, No. 11
N(E_F) = 11.66 states/eV per cell
ΔE_f (raw) = -868 meV/atom
ΔE to the lowest computed polymorph = 0 meV/atom
Crystal system = monoclinic